DFT (PBE) results for a geometry-optimized ZrBiHSe structure.

Structure (CIF):
```
data_ZrBiHSe
_cell_length_a 6.091
_cell_length_b 3.517
_cell_length_c 8.160
_cell_angle_alpha 90.00
_cell_angle_beta 104.53
_cell_angle_gamma 90.00
_symmetry_space_group_name_H-M 'C 1 m 1'
_symmetry_Int_Tables_number 8
loop_
_symmetry_equiv_pos_as_xyz
'x,y,z'
'x,-y,z'
'x+1/2,y+1/2,z'
'x+1/2,-y+1/2,z'
loop_
_atom_site_label
_atom_site_fract_x
_atom_site_fract_y
_atom_site_fract_z
Zr1 0.000 0.000 0.000
Bi1 0.219 0.000 0.659
H1 0.152 0.500 0.956
Se1 0.408 0.000 0.222
```



DFT (PBE) results for a geometry-optimized LiY2Rh structure.

## Properties
DFT formation energy   -0.18 eV/atom

Structure (CIF):
```
data_LiY2Rh
_cell_length_a 3.838
_cell_length_b 3.923
_cell_length_c 6.233
_cell_angle_alpha 90.00
_cell_angle_beta 90.00
_cell_angle_gamma 90.00
_symmetry_space_group_name_H-M 'P m m 2'
_symmetry_Int_Tables_number 25
loop_
_symmetry_equiv_pos_as_xyz
'x,y,z'
'-x,-y,z'
'-x,y,z'
'x,-y,z'
loop_
_atom_site_label
_atom_site_fract_x
_atom_site_fract_y
_atom_site_fract_z
Li1 0.000 0.000 0.000
Y1 0.000 0.000 0.430
Y2 0.500 0.500 0.782
Rh1 0.500 0.500 0.303
```



DFT (PBE) results for a geometry-optimized LaHgPt2 structure.

## Properties
DFT formation energy   -0.77 eV/atom

Structure (CIF):
```
data_LaHgPt2
_cell_length_a 7.631
_cell_length_b 4.321
_cell_length_c 10.673
_cell_angle_alpha 90.00
_cell_angle_beta 90.00
_cell_angle_gamma 90.00
_symmetry_space_group_name_H-M 'P n m a'
_symmetry_Int_Tables_number 62
loop_
_symmetry_equiv_pos_as_xyz
'x,y,z'
'-x,-y,-z'
'-x+1/2,-y,z+1/2'
'x+1/2,y,-z+1/2'
'x+1/2,-y+1/2,-z+1/2'
'-x+1/2,y+1/2,z+1/2'
'-x,y+1/2,-z'
'x,-y+1/2,z'
loop_
_atom_site_label
_atom_site_fract_x
_atom_site_fract_y
_atom_site_fract_z
La1 0.204 0.250 0.172
Hg1 0.046 0.750 0.400
Pt1 0.074 0.250 0.844
Pt2 0.213 0.750 0.967
```



DFT (PBE) results for a geometry-optimized Tm2NbSi2Rh5 structure.

## Properties
Uncorrected formation energy   -0.89 eV/atom

Structure (CIF):
```
data_Tm2NbSi2Rh5
_cell_length_a 9.600
_cell_length_b 9.600
_cell_length_c 3.570
_cell_angle_alpha 90.00
_cell_angle_beta 90.00
_cell_angle_gamma 90.00
_symmetry_space_group_name_H-M 'P 4/m b m'
_symmetry_Int_Tables_number 127
_symmetry_space_group_name_Hall '-P 4 2ab'
loop_
_atom_site_label
_atom_site_fract_x
_atom_site_fract_y
_atom_site_fract_z
Tm1 0.174 0.326 0.000
Nb1 0.000 0.000 0.000
Si1 0.123 0.623 0.000
Rh1 0.000 0.500 0.500
Rh2 0.069 0.790 0.500
```



DFT (PBE) results for a geometry-optimized KCuO2 structure.

## Properties
Uncorrected formation energy   0.04 eV/atom

Structure (CIF):
```
data_KCuO2
_cell_length_a 5.889
_cell_length_b 5.889
_cell_length_c 5.889
_cell_angle_alpha 90.00
_cell_angle_beta 90.00
_cell_angle_gamma 90.00
_symmetry_space_group_name_H-M 'F m -3 m'
_symmetry_Int_Tables_number 225
_symmetry_space_group_name_Hall '-F 4 2 3'
loop_
_atom_site_label
_atom_site_fract_x
_atom_site_fract_y
_atom_site_fract_z
K1 0.000 0.000 0.000
Cu1 0.000 0.000 0.500
O1 0.250 0.250 0.250
```



DFT (PBE) results for a geometry-optimized MgSi2AgN structure.

## Properties
Uncorrected formation energy   1.97 eV/atom

Structure (CIF):
```
data_MgSi2AgN
_cell_length_a 4.929
_cell_length_b 4.929
_cell_length_c 5.070
_cell_angle_alpha 90.00
_cell_angle_beta 90.00
_cell_angle_gamma 90.00
_symmetry_space_group_name_H-M 'P 4/m m m'
_symmetry_Int_Tables_number 123
_symmetry_space_group_name_Hall '-P 4 2'
loop_
_atom_site_label
_atom_site_fract_x
_atom_site_fract_y
_atom_site_fract_z
Mg1 0.000 0.000 0.000
Si1 0.000 0.500 0.000
Ag1 0.000 0.000 0.500
N1 0.500 0.500 0.500
```



DFT (PBE) results for a geometry-optimized Ta2Mn structure.

## Properties
DFT formation energy   0.04 eV/atom

Structure (CIF):
```
data_Ta2Mn
_cell_length_a 4.3550
_cell_length_b 4.3550
_cell_length_c 2.8942
_cell_angle_alpha 90.00
_cell_angle_beta 90.00
_cell_angle_gamma 120.00
_symmetry_space_group_name_H-M 'P -3 m 1'
_symmetry_Int_Tables_number 164
_symmetry_space_group_name_Hall '-P 3 2"'
loop_
_atom_site_label
_atom_site_fract_x
_atom_site_fract_y
_atom_site_fract_z
Ta1 0.3333 0.6667 0.3059
Mn1 0.0000 0.0000 0.0000
```



DFT (PBE) results for a geometry-optimized Ta4InS8 structure.

## Properties
Uncorrected formation energy   -0.95 eV/atom

Structure (CIF):
```
data_Ta4InS8
_cell_length_a 10.182
_cell_length_b 10.182
_cell_length_c 10.182
_cell_angle_alpha 90.00
_cell_angle_beta 90.00
_cell_angle_gamma 90.00
_symmetry_space_group_name_H-M 'F -4 3 m'
_symmetry_Int_Tables_number 216
_symmetry_space_group_name_Hall 'F -4 2 3'
loop_
_atom_site_label
_atom_site_fract_x
_atom_site_fract_y
_atom_site_fract_z
Ta1 0.104 0.104 0.104
In1 0.000 0.000 0.500
S1 0.131 0.131 0.869
S2 0.140 0.140 0.360
```



| no. | electronic total energy (eV/atom) |
| --- | --- |
| 1 | -5.521 |
| 2 | -5.729 |
| 3 | -5.098 |
| 4 | -7.548 |
| 5 | -3.734 |
| 6 | -2.749 |
| 7 | -10.917 |
| 8 | -7.347 |